# 1
# Fe2AgMo PBE optimized geometry
data_Fe2AgMo
_cell_length_a 2.6563
_cell_length_b 3.9161
_cell_length_c 5.5814
_cell_angle_alpha 90.00
_cell_angle_beta 96.18
_cell_angle_gamma 90.00
_space_group_name_H-M_alt 'P 1 2/m 1'
_space_group_IT_number 10
_space_group_name_Hall '-P 2y'
loop_
_atom_site_label
_atom_site_fract_x
_atom_site_fract_y
_atom_site_fract_z
_atom_site_occupancy
Fe1 0.0342 0.0000 0.2758 1
Ag1 0.5000 0.5000 0.0000 1
Mo1 0.5000 0.5000 0.5000 1
# - distance to the lowest polymorph of the same formula (meV per atom) = 127.6
# - energy (eV for the cell shown) = -28.98
# - size of the total moment (μB per formula unit) = 4.284
# - DOS(E_F) (states/eV per cell) = 4.175
# - volume (Å³/atom) = 14.431



# 2
# SrCa4Si PBE optimized geometry
data_SrCa4Si
_cell_length_a 9.7713
_cell_length_b 9.7713
_cell_length_c 9.7713
_cell_angle_alpha 90.00
_cell_angle_beta 90.00
_cell_angle_gamma 90.00
_space_group_name_H-M_alt 'F -4 3 m'
_space_group_IT_number 216
_space_group_name_Hall 'F -4 2 3'
loop_
_atom_site_label
_atom_site_fract_x
_atom_site_fract_y
_atom_site_fract_z
_atom_site_occupancy
Sr1 0.0000 0.0000 0.0000 1
Ca1 0.1239 0.1239 0.6239 1
Si1 0.2500 0.2500 0.2500 1
# - formation energy (no corrections) (meV per atom) = 385
# - energy (eV for the cell shown) = -51.21
# - size of the total moment (μB per formula unit) = 0.000
# - DOS(E_F) (states/eV per cell) = 25.796
# - volume (Å³/atom) = 38.873



# 3
# Ag7Hg3 PBE optimized geometry
data_Ag7Hg3
_cell_length_a 15.3216
_cell_length_b 4.2813
_cell_length_c 5.9813
_cell_angle_alpha 90.00
_cell_angle_beta 102.36
_cell_angle_gamma 90.00
_space_group_name_H-M_alt 'C 1 2/m 1'
_space_group_IT_number 12
_space_group_name_Hall '-C 2y'
loop_
_atom_site_label
_atom_site_fract_x
_atom_site_fract_y
_atom_site_fract_z
_atom_site_occupancy
Ag1 0.0000 0.0000 0.0000 1
Ag2 0.0982 0.5000 0.3016 1
Ag3 0.0986 0.5000 0.8019 1
Ag4 0.2000 0.0000 0.5994 1
Hg1 0.0000 0.0000 0.5000 1
Hg2 0.1982 0.0000 0.1082 1
# - energy (eV for the cell shown) = -40.83
# - size of the total moment (μB per formula unit) = 0.000
# - DOS(E_F) (states/eV per cell) = 4.861
# - volume (Å³/atom) = 19.163



# 4
# PuFeSi2 PBE optimized geometry
data_PuFeSi2
_cell_length_a 6.5309
_cell_length_b 3.9830
_cell_length_c 9.9321
_cell_angle_alpha 90.00
_cell_angle_beta 90.00
_cell_angle_gamma 90.00
_space_group_name_H-M_alt 'P n m a'
_space_group_IT_number 62
_space_group_name_Hall '-P 2ac 2n'
loop_
_atom_site_label
_atom_site_fract_x
_atom_site_fract_y
_atom_site_fract_z
_atom_site_occupancy
Pu1 0.1749 0.2500 0.1278 1
Fe1 0.0047 0.7500 0.3912 1
Si1 0.1438 0.2500 0.8206 1
Si2 0.1918 0.2500 0.4206 1
# - formation energy (no corrections) (meV per atom) = -505
# - energy (eV for the cell shown) = -142.65
# - size of the total moment (μB per formula unit) = 4.275
# - DOS(E_F) (states/eV per cell) = 37.686
# - volume (Å³/atom) = 16.148



# 5
# Ca5Tl2In PBE optimized geometry
data_Ca5Tl2In
_cell_length_a 6.9839
_cell_length_b 13.3306
_cell_length_c 5.4319
_cell_angle_alpha 90.00
_cell_angle_beta 90.00
_cell_angle_gamma 90.00
_space_group_name_H-M_alt 'P b a m'
_space_group_IT_number 55
_space_group_name_Hall '-P 2 2ab'
loop_
_atom_site_label
_atom_site_fract_x
_atom_site_fract_y
_atom_site_fract_z
_atom_site_occupancy
Ca1 0.0000 0.0000 0.0000 1
Ca2 0.1389 0.2731 0.0000 1
Ca3 0.1640 0.6079 0.5000 1
Tl1 0.1382 0.8637 0.5000 1
In1 0.0000 0.5000 0.0000 1
# - energy (eV for the cell shown) = -40.63
# - size of the total moment (μB per formula unit) = 0.000
# - DOS(E_F) (states/eV per cell) = 10.596
# - volume (Å³/atom) = 31.607



# 6
# LaTcHg2 PBE optimized geometry
data_LaTcHg2
_cell_length_a 5.7464
_cell_length_b 8.3289
_cell_length_c 3.8266
_cell_angle_alpha 90.00
_cell_angle_beta 90.00
_cell_angle_gamma 90.00
_space_group_name_H-M_alt 'C m m m'
_space_group_IT_number 65
_space_group_name_Hall '-C 2 2'
loop_
_atom_site_label
_atom_site_fract_x
_atom_site_fract_y
_atom_site_fract_z
_atom_site_occupancy
La1 0.0000 0.0000 0.0000 1
Tc1 0.0000 0.5000 0.0000 1
Hg1 0.2500 0.2500 0.5000 1
# - distance to the lowest polymorph of the same formula (meV per atom) = 157.2
# - energy (eV for the cell shown) = -29.48
# - size of the total moment (μB per formula unit) = 0.282
# - DOS(E_F) (states/eV per cell) = 6.483
# - volume (Å³/atom) = 22.894



# 7
# Ba2NaAg3Sn4 PBE optimized geometry
data_Ba2NaAg3Sn4
_cell_length_a 4.8539
_cell_length_b 4.8539
_cell_length_c 12.1625
_cell_angle_alpha 90.00
_cell_angle_beta 90.00
_cell_angle_gamma 90.00
_space_group_name_H-M_alt 'P -4 m 2'
_space_group_IT_number 115
_space_group_name_Hall 'P -4 -2'
loop_
_atom_site_label
_atom_site_fract_x
_atom_site_fract_y
_atom_site_fract_z
_atom_site_occupancy
Ba1 0.0000 0.5000 0.2469 1
Na1 0.0000 0.0000 0.5000 1
Ag1 0.0000 0.5000 0.8702 1
Ag2 0.5000 0.5000 0.5000 1
Sn1 0.0000 0.0000 0.0000 1
Sn2 0.0000 0.5000 0.6416 1
Sn3 0.5000 0.5000 0.0000 1
# - energy (eV for the cell shown) = -33.06
# - size of the total moment (μB per formula unit) = 0.000
# - DOS(E_F) (states/eV per cell) = 6.027
# - volume (Å³/atom) = 28.655



# 8
# LiRuW2 PBE optimized geometry
data_LiRuW2
_cell_length_a 2.7596
_cell_length_b 2.7596
_cell_length_c 7.9483
_cell_angle_alpha 90.00
_cell_angle_beta 90.00
_cell_angle_gamma 90.00
_space_group_name_H-M_alt 'P 4 m m'
_space_group_IT_number 99
_space_group_name_Hall 'P 4 -2'
loop_
_atom_site_label
_atom_site_fract_x
_atom_site_fract_y
_atom_site_fract_z
_atom_site_occupancy
Li1 0.0000 0.0000 0.0000 1
Ru1 0.5000 0.5000 0.2330 1
W1 0.0000 0.0000 0.4594 1
W2 0.5000 0.5000 0.7350 1
# - energy (eV for the cell shown) = -35.54
# - size of the total moment (μB per formula unit) = 0.000
# - DOS(E_F) (states/eV per cell) = 4.159
# - volume (Å³/atom) = 15.133



# 9
# ReSi2BN PBE optimized geometry
data_ReSi2BN
_cell_length_a 3.9490
_cell_length_b 3.9490
_cell_length_c 4.0845
_cell_angle_alpha 90.00
_cell_angle_beta 90.00
_cell_angle_gamma 90.00
_space_group_name_H-M_alt 'P 4/m m m'
_space_group_IT_number 123
_space_group_name_Hall '-P 4 2'
loop_
_atom_site_label
_atom_site_fract_x
_atom_site_fract_y
_atom_site_fract_z
_atom_site_occupancy
Re1 0.0000 0.0000 0.0000 1
Si1 0.0000 0.5000 0.5000 1
B1 0.0000 0.0000 0.5000 1
N1 0.5000 0.5000 0.0000 1
# - formation energy (no corrections) (meV per atom) = 1524
# - energy (eV for the cell shown) = -30.68
# - size of the total moment (μB per formula unit) = 0.000
# - DOS(E_F) (states/eV per cell) = 2.658
# - volume (Å³/atom) = 12.739



# 10
# CuAs2Se PBE optimized geometry
data_CuAs2Se
_cell_length_a 5.7071
_cell_length_b 5.7071
_cell_length_c 11.7146
_cell_angle_alpha 90.00
_cell_angle_beta 90.00
_cell_angle_gamma 90.00
_space_group_name_H-M_alt 'I -4 2 d'
_space_group_IT_number 122
_space_group_name_Hall 'I -4 2bw'
loop_
_atom_site_label
_atom_site_fract_x
_atom_site_fract_y
_atom_site_fract_z
_atom_site_occupancy
Cu1 0.0000 0.0000 0.0000 1
As1 0.2041 0.2500 0.1250 1
Se1 0.0000 0.0000 0.5000 1
# - formation energy (no corrections) (meV per atom) = 219
# - energy (eV for the cell shown) = -64.02
# - size of the total moment (μB per formula unit) = 0.000
# - DOS(E_F) (states/eV per cell) = 12.035
# - volume (Å³/atom) = 23.848



# 11
# Mn3NbAg PBE optimized geometry
data_Mn3NbAg
_cell_length_a 4.7942
_cell_length_b 4.7942
_cell_length_c 4.7942
_cell_angle_alpha 90.00
_cell_angle_beta 90.00
_cell_angle_gamma 90.00
_space_group_name_H-M_alt 'P m -3 m'
_space_group_IT_number 221
_space_group_name_Hall '-P 4 2 3'
loop_
_atom_site_label
_atom_site_fract_x
_atom_site_fract_y
_atom_site_fract_z
_atom_site_occupancy
Mn1 0.0000 0.0000 0.5000 1
Nb1 0.5000 0.5000 0.5000 1
Ag1 0.0000 0.0000 0.0000 1
# - distance to the lowest polymorph of the same formula (meV per atom) = 155.4
# - energy (eV for the cell shown) = -33.17
# - size of the total moment (μB per formula unit) = 9.779
# - DOS(E_F) (states/eV per cell) = 5.073
# - volume (Å³/atom) = 22.038



# 12
# U2Fe3P PBE optimized geometry
data_U2Fe3P
_cell_length_a 5.1072
_cell_length_b 5.1072
_cell_length_c 11.0246
_cell_angle_alpha 90.00
_cell_angle_beta 90.00
_cell_angle_gamma 120.00
_space_group_name_H-M_alt 'R -3 m'
_space_group_IT_number 166
_space_group_name_Hall '-R 3 2"'
loop_
_atom_site_label
_atom_site_fract_x
_atom_site_fract_y
_atom_site_fract_z
_atom_site_occupancy
U1 0.0000 0.0000 0.1232 1
Fe1 0.0000 0.5000 0.0000 1
P1 0.0000 0.0000 0.5000 1
# - energy (eV for the cell shown) = -168.56
# - size of the total moment (μB per formula unit) = 0.041
# - DOS(E_F) (states/eV per cell) = 17.525
# - volume (Å³/atom) = 13.835



# 13
# SmErScTl PBE optimized geometry
data_SmErScTl
_cell_length_a 4.7459
_cell_length_b 4.7611
_cell_length_c 4.8015
_cell_angle_alpha 90.00
_cell_angle_beta 90.00
_cell_angle_gamma 90.00
_space_group_name_H-M_alt 'P m m m'
_space_group_IT_number 47
_space_group_name_Hall '-P 2 2'
loop_
_atom_site_label
_atom_site_fract_x
_atom_site_fract_y
_atom_site_fract_z
_atom_site_occupancy
Sm1 0.0000 0.0000 0.0000 1
Er1 0.5000 0.0000 0.5000 1
Sc1 0.5000 0.5000 0.0000 1
Tl1 0.0000 0.5000 0.5000 1
# - distance to the lowest polymorph of the same formula (meV per atom) = 0.0
# - energy (eV for the cell shown) = -18.67
# - size of the total moment (μB per formula unit) = 0.848
# - DOS(E_F) (states/eV per cell) = 5.077
# - volume (Å³/atom) = 27.124



# 14
# BaRe2Cl PBE optimized geometry
data_BaRe2Cl
_cell_length_a 2.8818
_cell_length_b 2.8818
_cell_length_c 9.8079
_cell_angle_alpha 90.00
_cell_angle_beta 90.00
_cell_angle_gamma 90.00
_space_group_name_H-M_alt 'P 4/m m m'
_space_group_IT_number 123
_space_group_name_Hall '-P 4 2'
loop_
_atom_site_label
_atom_site_fract_x
_atom_site_fract_y
_atom_site_fract_z
_atom_site_occupancy
Ba1 0.0000 0.0000 0.0000 1
Re1 0.5000 0.5000 0.2905 1
Cl1 0.0000 0.0000 0.5000 1
# - distance to the lowest polymorph of the same formula (meV per atom) = 1559.6
# - formation energy (no corrections) (meV per atom) = 1672
# - energy (eV for the cell shown) = -21.98
# - size of the total moment (μB per formula unit) = 0.000
# - DOS(E_F) (states/eV per cell) = 4.898
# - volume (Å³/atom) = 20.363



# 15
# AcMg4Tl2 PBE optimized geometry
data_AcMg4Tl2
_cell_length_a 8.9122
_cell_length_b 8.9122
_cell_length_c 4.7428
_cell_angle_alpha 90.00
_cell_angle_beta 90.00
_cell_angle_gamma 90.00
_space_group_name_H-M_alt 'P 42/m n m'
_space_group_IT_number 136
_space_group_name_Hall '-P 4n 2n'
loop_
_atom_site_label
_atom_site_fract_x
_atom_site_fract_y
_atom_site_fract_z
_atom_site_occupancy
Ac1 0.0000 0.0000 0.0000 1
Mg1 0.0914 0.3440 0.5000 1
Tl1 0.2125 0.7875 0.5000 1
# - energy (eV for the cell shown) = -33.00
# - size of the total moment (μB per formula unit) = 0.000
# - DOS(E_F) (states/eV per cell) = 7.447
# - volume (Å³/atom) = 26.908



# 16
# LiCdAgOs2 PBE optimized geometry
data_LiCdAgOs2
_cell_length_a 4.2373
_cell_length_b 4.2373
_cell_length_c 4.4874
_cell_angle_alpha 90.00
_cell_angle_beta 90.00
_cell_angle_gamma 90.00
_space_group_name_H-M_alt 'P 4/m m m'
_space_group_IT_number 123
_space_group_name_Hall '-P 4 2'
loop_
_atom_site_label
_atom_site_fract_x
_atom_site_fract_y
_atom_site_fract_z
_atom_site_occupancy
Li1 0.0000 0.0000 0.0000 1
Cd1 0.0000 0.0000 0.5000 1
Ag1 0.5000 0.5000 0.5000 1
Os1 0.0000 0.5000 0.0000 1
# - energy (eV for the cell shown) = -21.08
# - size of the total moment (μB per formula unit) = 1.577
# - DOS(E_F) (states/eV per cell) = 6.036
# - volume (Å³/atom) = 16.114



# 17
# DyHF PBE optimized geometry
data_DyHF
_cell_length_a 3.5822
_cell_length_b 3.5826
_cell_length_c 10.0002
_cell_angle_alpha 81.32
_cell_angle_beta 81.22
_cell_angle_gamma 60.18
_space_group_name_H-M_alt 'P -1'
_space_group_IT_number 2
_space_group_name_Hall '-P 1'
loop_
_atom_site_label
_atom_site_fract_x
_atom_site_fract_y
_atom_site_fract_z
_atom_site_occupancy
Dy1 0.1260 0.1274 0.1432 1
H1 0.1023 0.8933 0.4995 1
F1 0.4259 0.4287 0.2625 1
# - distance to the lowest polymorph of the same formula (meV per atom) = 285.1
# - energy (eV for the cell shown) = -29.57
# - size of the total moment (μB per formula unit) = 0.735
# - DOS(E_F) (states/eV per cell) = 1.729
# - volume (Å³/atom) = 18.270



# 18
# LiTa2Cl PBE optimized geometry
data_LiTa2Cl
_cell_length_a 9.4729
_cell_length_b 2.9135
_cell_length_c 5.6966
_cell_angle_alpha 90.00
_cell_angle_beta 111.47
_cell_angle_gamma 90.00
_space_group_name_H-M_alt 'C 1 m 1'
_space_group_IT_number 8
_space_group_name_Hall 'C -2y'
loop_
_atom_site_label
_atom_site_fract_x
_atom_site_fract_y
_atom_site_fract_z
_atom_site_occupancy
Li1 0.0000 0.0000 0.0000 1
Ta1 0.1711 0.0000 0.6161 1
Ta2 0.4032 0.0000 0.4491 1
Cl1 0.2415 0.5000 0.0354 1
# - distance to the lowest polymorph of the same formula (meV per atom) = 388.9
# - formation energy (no corrections) (meV per atom) = 255
# - energy (eV for the cell shown) = -52.89
# - size of the total moment (μB per formula unit) = 0.000
# - DOS(E_F) (states/eV per cell) = 5.235
# - volume (Å³/atom) = 18.289



# 19
# Ce5YAu6 PBE optimized geometry
data_Ce5YAu6
_cell_length_a 16.2368
_cell_length_b 7.4943
_cell_length_c 5.1508
_cell_angle_alpha 90.00
_cell_angle_beta 108.44
_cell_angle_gamma 90.00
_space_group_name_H-M_alt 'C 1 2/m 1'
_space_group_IT_number 12
_space_group_name_Hall '-C 2y'
loop_
_atom_site_label
_atom_site_fract_x
_atom_site_fract_y
_atom_site_fract_z
_atom_site_occupancy
Ce1 0.0000 0.0000 0.0000 1
Ce2 0.1551 0.0000 0.6556 1
Ce3 0.1789 0.5000 0.6795 1
Y1 0.0000 0.5000 0.0000 1
Au1 0.0000 0.2813 0.5000 1
Au2 0.1624 0.2674 0.1631 1
# - energy (eV for the cell shown) = -126.93
# - size of the total moment (μB per formula unit) = 5.291
# - DOS(E_F) (states/eV per cell) = 67.191
# - volume (Å³/atom) = 24.774